(1)
# BaNbRe3

BaNbRe3 at its PBEsol-relaxed geometry (SCAN, the Alexandria database).

a = 4.8893 Å, b = 4.8893 Å, c = 4.8893 Å
α = 90.00°, β = 90.00°, γ = 90.00°
Fractional positions:
Re  0.0000  0.5000  0.0000
Re  0.0000  0.0000  0.5000
Re  0.5000  0.0000  0.0000
Nb  0.0000  0.0000  0.0000
Ba  0.5000  0.5000  0.5000

## Properties
Formation energy from the elements   1875 meV per atom
VASP energy   -55.320 eV/atom
Density of states at the Fermi level   4.970 states/eV/cell
SG   Pm-3m (221)



(2)
# BaSb2Pb

BaSb2Pb at its PBEsol-relaxed geometry (SCAN, the Alexandria database).

a = 4.2360 Å, b = 4.2360 Å, c = 7.0358 Å
α = 90.00°, β = 90.00°, γ = 90.00°
Fractional positions:
Ba  0.0000  0.0000  0.5121
Pb  0.5000  0.5000  0.2025
Sb  0.0000  0.0000  0.0016
Sb  0.5000  0.5000  0.7838

## Properties
ΔE_f (raw)   -0.355 eV per atom
VASP energy   -47.819 eV/atom
Density of states at the Fermi level   2.050 states/eV/cell
SG   P4mm (99)



(3)
# YTlGe2

YTlGe2 at its PBEsol-relaxed geometry (SCAN, the Alexandria database).

a = 5.0408 Å, b = 5.0408 Å, c = 5.0408 Å
α = 60.00°, β = 60.00°, γ = 60.00°
Fractional positions:
Y  0.0000  0.0000  0.0000
Tl  0.5000  0.5000  0.5000
Ge  0.2500  0.2500  0.2500
Ge  0.7500  0.7500  0.7500

## Properties
Formation energy from the elements   -52 meV per atom
VASP energy   -34.646 eV/atom
Density of states at the Fermi level   2.956 states/eV/cell
SG   Fm-3m (225)



(4)
# TlCo2Pt

TlCo2Pt at its PBEsol-relaxed geometry (SCAN, the Alexandria database).

a = 3.9868 Å, b = 3.9868 Å, c = 4.5325 Å
α = 116.09°, β = 116.09°, γ = 90.00°
Fractional positions:
Tl  0.5000  0.5000  0.0000
Co  0.7500  0.2500  0.5000
Co  0.2500  0.7500  0.5000
Pt  0.0000  0.0000  0.0000

## Properties
Formation energy from the elements   342 meV per atom
Excess energy over the best structure of this formula in the dataset   0.044 eV per atom
VASP energy   -43.948 eV/atom
Density of states at the Fermi level   3.474 states/eV/cell
SG   I4/mmm (139)



(5)
# Li2ZnAu

Li2ZnAu at its PBEsol-relaxed geometry (SCAN, the Alexandria database).

a = 2.7926 Å, b = 4.4287 Å, c = 4.7107 Å
α = 90.00°, β = 90.00°, γ = 90.00°
Fractional positions:
Zn  0.5000  0.0000  0.5379
Au  0.5000  0.5000  0.2088
Li  0.0000  0.0000  0.0462
Li  0.0000  0.5000  0.7071

## Properties
Formation energy from the elements   -436 meV per atom
VASP energy   -22.299 eV/atom
Density of states at the Fermi level   1.004 states/eV/cell
SG   Pmm2 (25)



(6)
# Be2Co

Be2Co at its PBEsol-relaxed geometry (SCAN, the Alexandria database).

a = 2.6080 Å, b = 2.6080 Å, c = 4.0732 Å
α = 108.67°, β = 108.67°, γ = 90.00°
Fractional positions:
Be  0.3366  0.3366  0.6733
Be  0.6634  0.6634  0.3267
Co  0.0000  0.0000  0.0000

## Properties
Formation energy from the elements   -276 meV per atom
VASP energy   -8.947 eV/atom
Density of states at the Fermi level   0.808 states/eV/cell
SG   I4/mmm (139)



(7)
# ZnCd3

ZnCd3 at its PBEsol-relaxed geometry (SCAN, the Alexandria database).

a = 5.4021 Å, b = 5.4021 Å, c = 5.4021 Å
α = 90.00°, β = 90.00°, γ = 90.00°
Fractional positions:
Zn  0.0000  0.0000  0.0000
Zn  0.5000  0.5000  0.5000
Cd  0.0000  0.2500  0.5000
Cd  0.0000  0.7500  0.5000
Cd  0.2500  0.5000  0.0000
Cd  0.5000  0.0000  0.2500
Cd  0.5000  0.0000  0.7500
Cd  0.7500  0.5000  0.0000

## Properties
Formation energy from the elements   117 meV per atom
VASP energy   -26.073 eV/atom
Density of states at the Fermi level   2.022 states/eV/cell
SG   Pm-3n (223)



(8)
# Sr2ZnCu

Sr2ZnCu at its PBEsol-relaxed geometry (SCAN, the Alexandria database).

a = 3.7963 Å, b = 5.2866 Å, c = 5.2866 Å
α = 89.98°, β = 90.00°, γ = 90.00°
Fractional positions:
Sr  0.0000  0.5000  0.0000
Sr  0.0000  0.0000  0.5000
Zn  0.5000  0.5000  0.5000
Cu  0.5000  0.0000  0.0000

## Properties
Formation energy from the elements   -43 meV per atom
VASP energy   -18.359 eV/atom
Density of states at the Fermi level   3.099 states/eV/cell
SG   P4/mmm (123)